No. 1
! CdTe (PBE, relaxed); values from VASP
! - space-group type = P-6m2, No. 187
! - VASP energy (eV/atom) = -1.81
&SYSTEM
  ibrav = 0, nat = 2, ntyp = 2
/
ATOMIC_SPECIES
Cd 112.41 Cd.upf
Te 127.60 Te.upf
CELL_PARAMETERS angstrom
3.367 0.000 0.000
-1.683 2.916 0.000
0.000 0.000 5.461
ATOMIC_POSITIONS crystal
Cd 0.667 0.333 0.750
Te 0.333 0.667 0.250



No. 2
! PrAgSO (PBE, relaxed); values from VASP
! - space-group type = Pca2_1, No. 29
! - VASP energy (eV/atom) = -5.85
&SYSTEM
  ibrav = 0, nat = 16, ntyp = 4
/
ATOMIC_SPECIES
Ag 107.87 Ag.upf
O 16.00 O.upf
Pr 140.91 Pr.upf
S 32.06 S.upf
CELL_PARAMETERS angstrom
-0.392 -1.264 -7.346
-4.548 -4.187 0.964
-4.366 4.613 -0.561
ATOMIC_POSITIONS crystal
Ag 0.280 0.362 0.154
Ag 0.780 0.638 0.154
Ag 0.220 0.362 0.654
Ag 0.720 0.638 0.654
O 0.168 0.017 0.177
O 0.668 0.983 0.177
O 0.332 0.017 0.677
O 0.832 0.983 0.677
Pr 0.598 0.148 0.497
Pr 0.098 0.852 0.497
Pr 0.902 0.148 0.997
Pr 0.402 0.852 0.997
S 0.927 0.397 0.423
S 0.427 0.603 0.423
S 0.573 0.397 0.923
S 0.073 0.603 0.923



No. 3
! HfIn2O4 (PBE, relaxed); values from VASP
! - space-group type = I4_1/amd, No. 141
! - VASP energy (eV/atom) = -6.88
&SYSTEM
  ibrav = 0, nat = 14, ntyp = 3
/
ATOMIC_SPECIES
Hf 178.49 Hf.upf
In 114.82 In.upf
O 16.00 O.upf
CELL_PARAMETERS angstrom
4.705 -4.720 0.000
-4.705 0.000 -4.720
4.705 4.720 0.000
ATOMIC_POSITIONS crystal
Hf 0.000 0.000 0.000
Hf 0.750 0.500 0.250
In 0.375 0.750 0.125
In 0.875 0.250 0.625
In 0.375 0.750 0.625
In 0.375 0.250 0.625
O 0.120 0.241 0.362
O 0.112 0.741 0.370
O 0.629 0.259 0.370
O 0.630 0.741 0.371
O 0.120 0.759 0.879
O 0.121 0.241 0.880
O 0.638 0.759 0.880
O 0.630 0.259 0.888



No. 4
! HfZn2Sn2 (PBE, relaxed); values from VASP
! - relative energy among the computed polymorphs (meV/atom) = 148.5
! - space-group type = I4/mmm, No. 139
! - VASP energy (eV/atom) = -3.94
&SYSTEM
  ibrav = 0, nat = 5, ntyp = 3
/
ATOMIC_SPECIES
Hf 178.49 Hf.upf
Sn 118.71 Sn.upf
Zn 65.41 Zn.upf
CELL_PARAMETERS angstrom
2.727 -2.727 0.000
2.727 2.727 0.000
-2.727 0.000 6.982
ATOMIC_POSITIONS crystal
Hf 0.000 0.000 0.000
Sn 0.606 0.606 0.212
Sn 0.394 0.394 0.788
Zn 0.750 0.250 0.500
Zn 0.250 0.750 0.500



Please write out number 4 again, unchanged.
! HfZn2Sn2 (PBE, relaxed); values from VASP
! - relative energy among the computed polymorphs (meV/atom) = 148.5
! - space-group type = I4/mmm, No. 139
! - VASP energy (eV/atom) = -3.94
&SYSTEM
  ibrav = 0, nat = 5, ntyp = 3
/
ATOMIC_SPECIES
Hf 178.49 Hf.upf
Sn 118.71 Sn.upf
Zn 65.41 Zn.upf
CELL_PARAMETERS angstrom
2.727 -2.727 0.000
2.727 2.727 0.000
-2.727 0.000 6.982
ATOMIC_POSITIONS crystal
Hf 0.000 0.000 0.000
Sn 0.606 0.606 0.212
Sn 0.394 0.394 0.788
Zn 0.750 0.250 0.500
Zn 0.250 0.750 0.500



VASP energy of number 2 (PrAgSO)? -5.85 eV/atom